[1]
Computed, not measured: crystalline PaGePO at its relaxed geometry at the PBE level of DFT.

For the energy above the lowest structure with this stoichiometry, the calculation gives 430 meV per atom. The crystal system is tetragonal.

Cell: 5.6933 5.6933 4.6666 Å, 90.00 90.00 90.00°
Space group P4/nmm (No. 129, origin choice 2)
Symmetry-distinct sites (fractional):
Pa: 0.2500 0.7500 0.0000 (multiplicity 2)
Ge: 0.2500 0.2500 0.3621 (multiplicity 2)
P: 0.2500 0.2500 0.8572 (multiplicity 2)
O: 0.2500 0.7500 0.5000 (multiplicity 2)

***

[2]
Computed, not measured: crystalline SrAgPd3Au at its relaxed geometry at the PBE level of DFT.

The crystal system is hexagonal.

Cell: 5.5443 5.5443 4.5127 Å, 90.00 90.00 120.00°
Space group P-6m2 (No. 187)
Symmetry-distinct sites (fractional):
Sr: 0.0000 0.0000 0.0000 (multiplicity 1)
Ag: 0.6667 0.3333 0.0000 (multiplicity 1)
Pd: 0.9998 0.4999 0.5000 (multiplicity 3)
Au: 0.3333 0.6667 0.0000 (multiplicity 1)

***

[3]
Computed, not measured: crystalline DyLuNi2B2C2 at its relaxed geometry at the PBE level of DFT.

The crystal system is tetragonal.

Cell: 3.5504 3.5504 7.5208 Å, 90.00 90.00 90.00°
Space group P4mm (No. 99)
Symmetry-distinct sites (fractional):
Dy: 0.0000 0.0000 0.0000 (multiplicity 1)
Lu: 0.5000 0.5000 0.6723 (multiplicity 1)
Ni: 0.0000 0.5000 0.3365 (multiplicity 2)
B: 0.0000 0.0000 0.4818 (multiplicity 1)
B: 0.5000 0.5000 0.1862 (multiplicity 1)
C: 0.0000 0.0000 0.6801 (multiplicity 1)
C: 0.5000 0.5000 0.9873 (multiplicity 1)

***

[4]
Computed, not measured: crystalline CuTePbF at its relaxed geometry at the PBE level of DFT.

For the energy above the lowest structure with this stoichiometry, the calculation gives 35 meV per atom. The crystal system is trigonal.

Cell: 4.2810 4.2810 33.1852 Å, 90.00 90.00 120.00°
Space group R-3m (No. 166, hexagonal axes)
Symmetry-distinct sites (fractional):
Cu: 0.0000 0.0000 0.1930 (multiplicity 6)
Te: 0.0000 0.0000 0.1132 (multiplicity 6)
Pb: 0.0000 0.0000 0.3846 (multiplicity 6)
F: 0.0000 0.0000 0.3068 (multiplicity 6)

***

[5]
Computed, not measured: crystalline LiBeNiSb at its relaxed geometry at the PBE level of DFT.

For the energy above the lowest structure with this stoichiometry, the calculation gives 91 meV per atom. The crystal system is cubic.

Cell: 6.0275 6.0275 6.0275 Å, 90.00 90.00 90.00°
Space group F-43m (No. 216)
Symmetry-distinct sites (fractional):
Li: 0.0000 0.0000 0.0000 (multiplicity 4)
Be: 0.2500 0.2500 0.7500 (multiplicity 4)
Ni: 0.2500 0.2500 0.2500 (multiplicity 4)
Sb: 0.0000 0.0000 0.5000 (multiplicity 4)

***

[6]
Computed, not measured: crystalline YLuFeSn at its relaxed geometry at the PBE level of DFT.

For the energy above the lowest structure with this stoichiometry, the calculation gives 0 meV per atom. The crystal system is cubic.

Cell: 6.8825 6.8825 6.8825 Å, 90.00 90.00 90.00°
Space group F-43m (No. 216)
Symmetry-distinct sites (fractional):
Y: 0.0000 0.0000 0.0000 (multiplicity 4)
Lu: 0.2500 0.2500 0.2500 (multiplicity 4)
Fe: 0.2500 0.2500 0.7500 (multiplicity 4)
Sn: 0.0000 0.0000 0.5000 (multiplicity 4)

***

[7]
Computed, not measured: crystalline Gd3Mg3Zn2Pt at its relaxed geometry at the PBE level of DFT.

The crystal system is hexagonal.

Cell: 7.4741 7.4741 4.2439 Å, 90.00 90.00 120.00°
Space group P-62m (No. 189)
Symmetry-distinct sites (fractional):
Gd: 0.0000 0.4065 0.0000 (multiplicity 3)
Mg: 0.0000 0.7630 0.5000 (multiplicity 3)
Zn: 0.3333 0.6667 0.5000 (multiplicity 2)
Pt: 0.0000 0.0000 0.0000 (multiplicity 1)

***

[8]
Computed, not measured: crystalline CuSnWAu at its relaxed geometry at the PBE level of DFT.

For the energy above the lowest structure with this stoichiometry, the calculation gives 176 meV per atom. The crystal system is cubic.

Cell: 6.5419 6.5419 6.5419 Å, 90.00 90.00 90.00°
Space group F-43m (No. 216)
Symmetry-distinct sites (fractional):
Cu: 0.0000 0.0000 0.0000 (multiplicity 4)
Sn: 0.2500 0.2500 0.7500 (multiplicity 4)
W: 0.2500 0.2500 0.2500 (multiplicity 4)
Au: 0.0000 0.0000 0.5000 (multiplicity 4)

***

| no. | total DFT energy (no corrections) (eV for the cell shown) |
| --- | --- |
| 1 | -53.38 |
| 2 | -25.87 |
| 3 | -56.40 |
| 4 | -96.70 |
| 5 | -61.57 |
| 6 | -93.19 |
| 7 | -31.46 |
| 8 | -84.23 |